{
  "formula": "MnF3",
  "functional": "PBE with a Hubbard U",
  "state": "relaxed",
  "lattice_angstrom": [[5.408, 0.000, 0.000], [0.000, 5.578, 0.000], [0.000, 0.000, 3.880]],
  "species": ["Mn", "Mn", "F", "F", "F", "F", "F", "F"],
  "frac_coords": [[0.000, 0.000, 0.000], [0.500, 0.500, 0.000], [0.000, 0.000, 0.500], [0.218, 0.309, 0.000], [0.282, 0.809, 0.000], [0.500, 0.500, 0.500], [0.718, 0.191, 0.000], [0.782, 0.691, 0.000]],
  "space_group": "Pbam, No. 55",
  "dft_energy_ev_per_cell": -45.7,
  "total_magnetization_mub_per_cell": 8.00
}